## 1
VASP calculation (PBE-GGA) on an optimized crystal structure of Cd2Mo.

**Total magnetization**: 0.0 Bohr magnetons per cell

POSCAR file:
```
Cd2Mo
1.0
0.758 -4.667 -3.395
2.140 -2.591 -4.753
6.408 -2.815 2.217
Cd Mo
4 2
direct
0.660 0.660 0.666
0.612 0.612 0.283
0.006 0.006 0.992
0.341 0.341 0.330
0.285 0.285 0.934
0.930 0.930 0.628
```

## 2
VASP calculation (PBE-GGA) on an optimized crystal structure of Cd2Mo.

**Total magnetization**: 0.0 Bohr magnetons per cell

POSCAR file:
```
Cd2Mo
1.0
-3.821 11.180 8.380
-6.711 11.544 5.614
4.082 -12.575 -5.919
Cd Mo
4 2
direct
0.578 0.578 0.000
0.422 0.422 0.000
0.328 0.828 0.500
0.172 0.672 0.500
0.750 0.250 0.500
0.000 0.000 0.000
```

On energetic grounds, 2 is preferred over the next structure by 20 meV per atom.

## 1
VASP calculation (PBE-GGA) on an optimized crystal structure of Cd2Mo.

**Total magnetization**: 12.4 Bohr magnetons per cell

POSCAR file:
```
Cd2Mo
1.0
6.783 0.000 0.000
0.000 6.783 0.000
0.000 0.000 6.783
Mo Cd
4 8
direct
0.500 0.500 0.000
0.000 0.500 0.500
0.000 0.000 0.000
0.500 0.000 0.500
0.367 0.133 0.867
0.367 0.367 0.367
0.633 0.867 0.133
0.633 0.633 0.633
0.867 0.133 0.633
0.133 0.633 0.867
0.133 0.867 0.367
0.867 0.367 0.133
```

## 2
VASP calculation (PBE-GGA) on an optimized crystal structure of Cd2Mo.

**Total magnetization**: 2.0 Bohr magnetons per cell

POSCAR file:
```
Cd2Mo
1.0
4.423 5.912 3.145
-5.632 -5.689 -0.566
3.267 -3.416 1.827
Cd Mo
4 2
direct
0.728 0.272 0.750
0.060 0.940 0.750
0.272 0.728 0.250
0.940 0.060 0.250
0.394 0.606 0.750
0.606 0.394 0.250
```

## 3
VASP calculation (PBE-GGA) on an optimized crystal structure of Cd2Mo.

**Total magnetization**: 3.8 Bohr magnetons per cell

POSCAR file:
```
Cd2Mo
1.0
2.416 -4.185 0.000
2.416 4.185 0.000
0.000 0.000 5.798
Cd Mo
4 2
direct
0.000 0.000 0.500
0.667 0.333 0.750
0.333 0.667 0.250
0.000 0.000 0.000
0.333 0.667 0.750
0.667 0.333 0.250
```

On energetic grounds, 2 is preferred over the next structure by 125 meV per atom.

## 1
VASP calculation (PBE-GGA) on an optimized crystal structure of Cd2Mo.

**Total magnetization**: 1.3 Bohr magnetons per cell

POSCAR file:
```
Cd2Mo
1.0
4.808 0.000 0.000
-2.404 4.164 0.000
0.000 0.000 2.857
Cd Mo
2 1
direct
0.333 0.667 0.499
0.667 0.333 0.501
0.000 0.000 0.000
```

## 2
VASP calculation (PBE-GGA) on an optimized crystal structure of Cd2Mo.

**Total magnetization**: 0.0 Bohr magnetons per cell

POSCAR file:
```
Cd2Mo
1.0
1.506 5.795 -0.007
-1.506 5.795 -0.007
0.000 1.514 6.650
Cd Mo
4 2
direct
0.127 0.127 0.473
0.873 0.873 0.527
0.799 0.799 0.147
0.201 0.201 0.853
0.521 0.521 0.160
0.479 0.479 0.840
```

## 3
VASP calculation (PBE-GGA) on an optimized crystal structure of Cd2Mo.

**Total magnetization**: 0.0 Bohr magnetons per cell

POSCAR file:
```
Cd2Mo
1.0
-4.495 -4.090 5.215
2.777 0.104 -7.510
2.606 -1.664 0.941
Cd Mo
4 2
direct
0.227 0.773 0.250
0.586 0.414 0.250
0.773 0.227 0.750
0.414 0.586 0.750
0.940 0.060 0.250
0.060 0.940 0.750
```

On energetic grounds, 3 is preferred over the next structure by 56 meV per atom.

## 1
VASP calculation (PBE-GGA) on an optimized crystal structure of CdMo2N2.

**Total magnetization**: 0.0 Bohr magnetons per cell

POSCAR file:
```
CdMo2N2
1.0
6.645 0.000 0.000
0.000 6.645 0.000
0.000 0.000 2.754
Mo N Cd
4 4 2
direct
0.858 0.358 0.500
0.358 0.142 0.500
0.142 0.642 0.500
0.642 0.858 0.500
0.372 0.872 0.000
0.628 0.128 0.000
0.872 0.628 0.000
0.128 0.372 0.000
0.500 0.500 0.000
0.000 0.000 0.000
```

## 2
VASP calculation (PBE-GGA) on an optimized crystal structure of CdMo2N2.

**Total magnetization**: 0.0 Bohr magnetons per cell

POSCAR file:
```
CdMo2N2
1.0
3.931 0.000 0.000
0.000 3.931 0.000
1.965 1.965 4.967
Mo N Cd
2 2 1
direct
0.250 0.750 0.500
0.750 0.250 0.500
0.316 0.316 0.367
0.684 0.684 0.633
0.000 0.000 0.000
```

On energetic grounds, 2 is preferred over the next structure by 428 meV per atom.

## 1
VASP calculation (PBE-GGA) on an optimized crystal structure of CdMo3N.

**Total magnetization**: 0.0 Bohr magnetons per cell

POSCAR file:
```
CdMo3N
1.0
4.181 0.000 0.000
0.000 4.181 0.000
0.000 0.000 4.181
Mo N Cd
3 1 1
direct
0.000 0.500 0.000
0.000 0.000 0.500
0.500 0.000 0.000
0.000 0.000 0.000
0.500 0.500 0.500
```

## 2
VASP calculation (PBE-GGA) on an optimized crystal structure of CdMo3N.

**Total magnetization**: 1.0 Bohr magnetons per cell

POSCAR file:
```
CdMo3N
1.0
4.872 0.000 0.000
0.000 4.872 0.000
0.000 0.000 4.872
Mo N Cd
3 1 1
direct
0.000 0.500 0.000
0.500 0.000 0.000
0.000 0.000 0.500
0.500 0.500 0.500
0.000 0.000 0.000
```

On energetic grounds, 1 is preferred over the next structure by 3708 meV per atom.

## 1
VASP calculation (PBE-GGA) on an optimized crystal structure of CdTeMoN2.

**Total magnetization**: 0.0 Bohr magnetons per cell

POSCAR file:
```
CdTeMoN2
1.0
-0.884 3.287 -2.085
-2.295 -2.167 -2.443
-4.541 0.950 3.423
Te Mo N Cd
1 1 2 1
direct
0.000 0.000 0.500
0.000 0.000 0.000
0.000 0.500 0.000
0.500 0.000 0.000
0.500 0.500 0.500
```

## 2
VASP calculation (PBE-GGA) on an optimized crystal structure of CdTeMoN2.

**Total magnetization**: 0.0 Bohr magnetons per cell

POSCAR file:
```
CdTeMoN2
1.0
4.103 0.000 0.000
0.000 4.103 0.000
0.000 0.000 5.666
N Cd Te Mo
2 1 1 1
direct
0.000 0.500 0.000
0.500 0.000 0.000
0.000 0.000 0.000
0.000 0.000 0.500
0.500 0.500 0.500
```

On energetic grounds, 1 is preferred over the next structure by 1906 meV per atom.

## 1
VASP calculation (PBE-GGA) on an optimized crystal structure of NaCdSiMo2.

**Total magnetization**: 4.9 Bohr magnetons per cell

POSCAR file:
```
NaCdSiMo2
1.0
-4.328 -0.245 -2.695
-2.044 -2.587 3.519
-1.625 4.301 2.219
Mo Si Na Cd
2 1 1 1
direct
0.000 0.000 0.500
0.500 0.000 0.000
0.500 0.500 0.500
0.000 0.500 0.000
0.000 0.000 0.000
```

## 2
VASP calculation (PBE-GGA) on an optimized crystal structure of NaCdSiMo2.

**Total magnetization**: 7.1 Bohr magnetons per cell

POSCAR file:
```
NaCdSiMo2
1.0
5.316 0.000 0.000
0.000 4.866 0.000
0.000 0.000 5.316
Cd Si Na Mo
1 1 1 2
direct
0.000 0.000 0.000
0.000 0.500 0.000
0.500 0.500 0.500
0.500 0.000 0.000
0.000 0.000 0.500
```

On energetic grounds, 2 is preferred over the next structure by 65 meV per atom.

## 1
VASP calculation (PBE-GGA) on an optimized crystal structure of NbCdMo3.

**Total magnetization**: 0.0 Bohr magnetons per cell

POSCAR file:
```
NbCdMo3
1.0
4.797 0.000 0.000
0.000 4.797 0.000
0.000 0.000 4.797
Mo Nb Cd
3 1 1
direct
0.000 0.500 0.000
0.500 0.000 0.000
0.000 0.000 0.500
0.500 0.500 0.500
0.000 0.000 0.000
```

## 2
VASP calculation (PBE-GGA) on an optimized crystal structure of NbCdMo3.

**Total magnetization**: 0.0 Bohr magnetons per cell

POSCAR file:
```
NbCdMo3
1.0
4.775 0.000 0.000
0.000 4.775 0.000
0.000 0.000 4.775
Nb Mo Cd
1 3 1
direct
0.000 0.000 0.000
0.500 0.000 0.000
0.000 0.500 0.000
0.000 0.000 0.500
0.500 0.500 0.500
```

On energetic grounds, 2 is preferred over the next structure by 832 meV per atom.